# 1
TbPr2ScBi4: optimized geometry, PBE.

abc: 4.524 7.831 7.807
angles: 109.54 90.00 90.00
Element x y z (fractional)
Tb1 0.000 0.000 0.000
Pr1 0.500 0.000 0.500
Pr2 0.000 0.500 0.500
Sc1 0.500 0.500 0.000
Bi1 0.500 0.252 0.235
Bi2 0.500 0.748 0.765
Bi3 0.000 0.263 0.770
Bi4 0.000 0.737 0.230

Values from the calculation:
Magnetization   0.000 μB/cell
Space group   P2/m (10)
DFT formation energy   -848 meV per atom
V   261 Å³/f.u.

***

# 2
SrCaSi2Cl: optimized geometry, PBE.

abc: 5.191 7.363 5.191
angles: 90.00 90.00 90.00
Element x y z (fractional)
Sr1 0.000 0.500 0.000
Ca1 0.000 0.000 0.000
Si1 0.000 0.000 0.500
Si2 0.500 0.000 0.000
Cl1 0.500 0.500 0.500

Values from the calculation:
Magnetization   0.168 μB/cell
ΔE_f (raw)   549.9 meV/atom
Space group   P4/mmm (123)
V   198 Å³/f.u.

***

# 3
LiMnTe2N: optimized geometry, PBE.

abc: 5.193 5.193 3.515
angles: 90.00 90.00 90.00
Site moments in Bohr magnetons follow the coordinates.
Element x y z (fractional)
Te1 0.000 0.500 0.000  -0.12
Te2 0.500 0.000 0.000  -0.12
Li1 0.000 0.000 0.000  -0.01
Mn1 0.500 0.500 0.500  4.10
N1 0.000 0.000 0.500  0.24

Values from the calculation:
Magnetization   4.389 μB/cell
ΔE_f (raw)   836.6 meV/atom
Space group   P4/mmm (123)
V   95 Å³/f.u.

***

Question: What is the V in the second record?
Answer: 198 Å³/f.u.